[1]
! NaMgCl3 (PBEsol, relaxed); values from VASP
&SYSTEM
  ibrav = 0, nat = 5, ntyp = 3
/
ATOMIC_SPECIES
Cl 35.45 Cl.upf
Mg 24.30 Mg.upf
Na 22.99 Na.upf
ATOMIC_POSITIONS crystal
Cl 0.5000 0.0000 0.0000
Cl 0.0000 0.0000 0.5000
Cl 0.0000 0.5000 0.0000
Mg 0.5000 0.5000 0.5000
Na 0.0000 0.0000 0.0000
CELL_PARAMETERS angstrom
-3.3848 2.5227 -2.5021
-2.9248 -0.0160 3.9404
2.0175 4.2092 1.5146
! SG = Pm-3m (221)
! formation energy (no corrections) = -0.9484 eV per atom

[2]
! Sc2RhPb (PBEsol, relaxed); values from VASP
&SYSTEM
  ibrav = 0, nat = 4, ntyp = 3
/
ATOMIC_SPECIES
Sc 44.96 Sc.upf
Rh 102.91 Rh.upf
Pb 207.20 Pb.upf
ATOMIC_POSITIONS crystal
Sc 0.0000 0.0000 0.7077
Sc 0.0000 0.0000 0.2923
Rh 0.5000 0.5000 0.5000
Pb 0.5000 0.5000 0.0000
CELL_PARAMETERS angstrom
-2.7370 -0.8793 -1.4899
1.6572 -0.5319 -2.7304
1.1587 -7.1626 2.0985
! SG = P4/mmm (123)
! ΔE_f = -664 meV/atom

[3]
! SbOsSeI2 (PBEsol, relaxed); values from VASP
&SYSTEM
  ibrav = 0, nat = 5, ntyp = 4
/
ATOMIC_SPECIES
Se 78.96 Se.upf
Sb 121.76 Sb.upf
Os 190.23 Os.upf
I 126.90 I.upf
ATOMIC_POSITIONS crystal
Se 0.5000 0.5000 0.5000
Sb 0.5000 0.0000 0.0000
Os 0.0000 0.0000 0.0000
I 0.0000 0.0000 0.5000
I 0.0000 0.5000 0.0000
CELL_PARAMETERS angstrom
5.0742 0.0000 0.0000
0.0000 5.2627 0.0000
0.0000 0.0000 5.2627
! SG = P4/mmm (123)
! formation energy (no corrections) = 0.7773 eV per atom

[4]
! LiTc2 (PBEsol, relaxed); values from VASP
&SYSTEM
  ibrav = 0, nat = 3, ntyp = 2
/
ATOMIC_SPECIES
Tc 98.00 Tc.upf
Li 6.94 Li.upf
ATOMIC_POSITIONS crystal
Tc 0.6259 0.3333 0.6667
Tc 0.3741 0.6667 0.3333
Li 0.0000 0.0000 0.0000
CELL_PARAMETERS angstrom
2.5193 0.0000 0.0000
0.0000 4.2689 0.0000
0.0000 -2.1345 3.6970
! SG = P-3m1 (164)
! ΔE_f = 150 meV/atom

[5]
! MnP2Br (PBEsol, relaxed); values from VASP
&SYSTEM
  ibrav = 0, nat = 4, ntyp = 3
/
ATOMIC_SPECIES
P 30.97 P.upf
Br 79.90 Br.upf
Mn 54.94 Mn.upf
ATOMIC_POSITIONS crystal
P 0.1754 0.0000 0.3542
P 0.8246 0.0000 0.6458
Br 0.5000 0.5000 0.0000
Mn 0.5000 0.5000 0.5000
CELL_PARAMETERS angstrom
3.5056 0.0000 -0.0218
0.0000 4.3699 0.0000
-1.7085 0.0000 4.9576
! SG = P2/m (10)
! formation energy (no corrections) = 0.0422 eV per atom

[6]
! ScAl2Cu2 (PBEsol, relaxed); values from VASP
&SYSTEM
  ibrav = 0, nat = 5, ntyp = 3
/
ATOMIC_SPECIES
Cu 63.55 Cu.upf
Al 26.98 Al.upf
Sc 44.96 Sc.upf
ATOMIC_POSITIONS crystal
Cu 0.6104 0.6104 0.2209
Cu 0.3896 0.3896 0.7791
Al 0.7500 0.2500 0.5000
Al 0.2500 0.7500 0.5000
Sc 0.0000 0.0000 0.0000
CELL_PARAMETERS angstrom
3.8979 0.0000 0.0000
0.0000 3.8979 0.0000
-1.9489 -1.9489 5.1747
! SG = I4/mmm (139)
! ΔE_f = -318 meV/atom